Record 1
A plane-wave DFT calculation with PBE-GGA was carried out for a relaxed structure of PrNd6Er4.

Geometry as POSCAR:
```
PrNd6Er4
1.0
3.589 0.000 0.000
0.000 11.116 0.000
0.000 -5.558 9.627
Pr Nd Er
1 6 4
direct
0.000 0.000 0.000
0.000 0.523 0.046
0.500 0.183 0.817
0.500 0.634 0.817
0.000 0.954 0.477
0.000 0.523 0.477
0.500 0.183 0.366
0.000 0.333 0.667
0.500 0.838 0.676
0.500 0.838 0.162
0.500 0.324 0.162
```

Calculated values
The formation energy from the elements comes out at 0.152 eV/atom. Its symmetry is P-6m2. For the calculated density, the calculation gives 7.2 g/cm³. The calculation puts the uncorrected energy at -4.54 eV/atom. The energy above the lowest structure with this stoichiometry is 0.043 eV per atom. The total moment is 0.0 μB per formula unit.

***

Record 2
A plane-wave DFT calculation with PBE-GGA was carried out for a relaxed structure of ZnSiMo.

Geometry as POSCAR:
```
ZnSiMo
1.0
-0.133 -2.611 -3.137
2.671 -3.082 -0.206
-1.262 -3.839 0.590
Mo Si Zn
1 1 1
direct
0.500 0.500 0.500
0.750 0.750 0.750
0.000 0.000 0.000
```

Calculated values
Its symmetry is F-43m. For the calculated density, the calculation gives 6.5 g/cm³. The calculation puts the uncorrected energy at -5.60 eV/atom. Its formation energy without anion corrections is 0.238 eV per atom. The energy above the lowest structure with this stoichiometry is 0.228 eV per atom. The total moment is 0.0 μB per formula unit.

***

Record 3
A plane-wave DFT calculation with PBE-GGA was carried out for a relaxed structure of Dy2YHg.

Geometry as POSCAR:
```
Dy2YHg
1.0
-2.950 3.564 -0.498
0.087 -3.699 -5.249
-6.318 -4.774 3.259
Dy Hg Y
4 2 2
direct
0.639 0.278 0.047
0.361 0.722 0.547
0.639 0.278 0.453
0.361 0.722 0.953
0.769 0.538 0.750
0.231 0.462 0.250
0.054 0.108 0.750
0.946 0.892 0.250
```

Calculated values
The formation energy from the elements comes out at -0.170 eV/atom. Its symmetry is Cmcm. For the calculated density, the calculation gives 8.6 g/cm³. The calculation puts the uncorrected energy at -4.16 eV/atom. The energy above the lowest structure with this stoichiometry is 0.057 eV per atom. The total moment is 0.0 μB per formula unit.